Crystalline Ca2TlRu at its relaxed geometry. Source: the Alexandria database, functional GGA-PBE.

a b c (Å): 3.5448 3.5644 8.4871
angles (deg): 65.33 90.00 90.00
Sites, in units of the cell vectors:
Ca  0.0000  0.5390  0.4604
Ca  0.0000  0.9610  0.0396
Tl  0.5000  0.7500  0.7500
Ru  0.5000  0.2500  0.2500

Properties
- formation energy (eV per atom) = 0.034
- total DFT energy (no corrections) (eV per atom) = -3.88
- space group = P2/m (10)
- crystal system = monoclinic
- distance to the lowest polymorph of the same formula (eV per atom) = 0.000

***

Crystalline Ca2TlRu at its relaxed geometry. Source: the Alexandria database, functional GGA-PBE.

a b c (Å): 4.5843 4.0163 6.0678
angles (deg): 70.75 90.00 90.00
Sites, in units of the cell vectors:
Tl  0.5000  0.5597  0.7560
Ca  0.5000  0.2725  0.3292
Ru  0.0000  0.6909  0.4929
Ca  0.0000  0.9769  0.9219

Properties
- formation energy (eV per atom) = 0.045
- total DFT energy (no corrections) (eV per atom) = -3.87
- space group = Pm (6)
- crystal system = monoclinic
- distance to the lowest polymorph of the same formula (eV per atom) = 0.012

***

Crystalline CaTl4Ru at its relaxed geometry. Source: the Alexandria database, functional GGA-PBE.

a b c (Å): 6.1272 6.1272 6.1272
angles (deg): 60.00 60.00 60.00
Site moments in Bohr magnetons follow the coordinates.
Sites, in units of the cell vectors:
Tl  0.3743  0.3743  0.3743  0.01
Ru  0.0000  0.0000  0.0000  1.66
Tl  0.3743  0.3743  0.8771  0.01
Tl  0.3743  0.8771  0.3743  0.01
Tl  0.8771  0.3743  0.3743  0.01
Ca  0.7500  0.7500  0.7500  -0.03

Properties
- formation energy (eV per atom) = 0.526
- total DFT energy (no corrections) (eV per atom) = -2.93
- space group = F-43m (216)
- crystal system = cubic

***

Crystalline CaTlRu3 at its relaxed geometry. Source: the Alexandria database, functional GGA-PBE.

a b c (Å): 4.8057 4.8057 4.8057
angles (deg): 90.00 90.00 90.00
Site moments in Bohr magnetons follow the coordinates.
Sites, in units of the cell vectors:
Ca  0.0000  0.0000  0.0000  -0.07
Tl  0.5000  0.5000  0.5000  0.00
Ru  0.0000  0.5000  0.0000  1.62
Ru  0.5000  0.0000  0.0000  1.71
Ru  0.0000  0.0000  0.5000  1.58

Properties
- formation energy (eV per atom) = 2.016
- total DFT energy (no corrections) (eV per atom) = -4.42
- space group = Pm-3m (221)
- crystal system = cubic
- distance to the lowest polymorph of the same formula (eV per atom) = 0.367

***

Crystalline Ca2TlRu at its relaxed geometry. Source: the Alexandria database, functional GGA-PBE.

a b c (Å): 5.5263 5.5263 5.5263
angles (deg): 131.45 131.45 71.10
Sites, in units of the cell vectors:
Tl  0.7500  0.2500  0.5000
Ru  0.5000  0.5000  0.0000
Ca  0.0000  0.0000  0.0000
Ca  0.2500  0.7500  0.5000

Properties
- formation energy (eV per atom) = 0.127
- total DFT energy (no corrections) (eV per atom) = -3.78
- space group = I-4m2 (119)
- crystal system = tetragonal
- distance to the lowest polymorph of the same formula (eV per atom) = 0.093

***

Crystalline CaTl3Ru at its relaxed geometry. Source: the Alexandria database, functional GGA-PBE.

a b c (Å): 5.2941 5.2941 5.2941
angles (deg): 90.00 90.00 90.00
Sites, in units of the cell vectors:
Ru  0.0000  0.0000  0.0000
Ca  0.5000  0.5000  0.5000
Tl  0.0000  0.0000  0.5000
Tl  0.0000  0.5000  0.0000
Tl  0.5000  0.0000  0.0000

Properties
- formation energy (eV per atom) = 0.155
- total DFT energy (no corrections) (eV per atom) = -3.52
- space group = Pm-3m (221)
- crystal system = cubic
- distance to the lowest polymorph of the same formula (eV per atom) = 0.000